# LiMnCF2 (PBE with a Hubbard U, optimized geometry)
data_LiMnCF2
_chemical_formula_sum 'Li1 Mn1 C1 F2'
_cell_length_a 4.5113
_cell_length_b 4.5113
_cell_length_c 3.8493
_cell_angle_alpha 90.00
_cell_angle_beta 90.00
_cell_angle_gamma 90.00
_space_group_name_H-M_alt 'P 4/m m m'
_space_group_IT_number 123
_space_group_name_Hall '-P 4 2'
loop_
_atom_site_label
_atom_site_type_symbol
_atom_site_fract_x
_atom_site_fract_y
_atom_site_fract_z
Li1 Li 0.0000 0.0000 0.0000
Mn1 Mn 0.5000 0.5000 0.0000
C1 C 0.5000 0.5000 0.5000
F1 F 0.0000 0.5000 0.5000
# Uncorrected energy (Ha/atom): -0.1674